No. 1
CoP2: relaxed, PBE-GGA.

Unit cell a=4.857 b=4.857 c=4.857 alpha=60.00 beta=60.00 gamma=60.00
Fractional coordinates of all 6 atoms:
Co 0.125 0.125 0.125
Co 0.875 0.875 0.875
P 0.000 0.500 0.500
P 0.500 0.000 0.500
P 0.500 0.500 0.000
P 0.500 0.500 0.500

Results
E_form ... 0.83 eV per atom

***

No. 2
Cs5HAu: relaxed, PBE-GGA.

Unit cell a=9.686 b=9.686 c=12.286 alpha=102.89 beta=102.89 gamma=53.14
Fractional coordinates of all 14 atoms:
Cs 0.062 0.621 0.368
Cs 0.115 0.885 0.750
Cs 0.187 0.597 0.998
Cs 0.379 0.938 0.132
Cs 0.403 0.813 0.502
Cs 0.597 0.187 0.498
Cs 0.621 0.062 0.868
Cs 0.813 0.403 0.002
Cs 0.885 0.115 0.250
Cs 0.938 0.379 0.632
H 0.000 0.000 0.000
H 0.000 0.000 0.500
Au 0.469 0.531 0.250
Au 0.531 0.469 0.750

Results
Total DFT energy (no corrections) ... -1.6360 eV per atom

***

No. 3
PmEr2Zn2Si2: relaxed, PBE-GGA.

Unit cell a=11.356 b=11.356 c=11.356 alpha=20.67 beta=20.67 gamma=20.67
Fractional coordinates of all 7 atoms:
Pm 0.000 0.000 0.000
Er 0.123 0.123 0.123
Er 0.877 0.877 0.877
Zn 0.396 0.396 0.396
Zn 0.604 0.604 0.604
Si 0.268 0.268 0.268
Si 0.732 0.732 0.732

Results
Uncorrected formation energy ... -10.286 kcal/mol of atoms

***

No. 4
Ag3Mo: relaxed, PBE-GGA.

Unit cell a=2.779 b=2.779 c=8.852 alpha=90.00 beta=90.00 gamma=90.00
Fractional coordinates of all 4 atoms:
Ag 0.000 0.000 0.000
Ag 0.500 0.500 0.253
Ag 0.500 0.500 0.747
Mo 0.000 0.000 0.500

Results
E_form ... 0.32 eV per atom
Offset from the most stable computed form ... 0.09 eV per formula unit

***

No. 5
PrAg3Br6: relaxed, PBE-GGA.

Unit cell a=8.042 b=8.045 c=8.308 alpha=61.12 beta=61.09 gamma=62.73
Fractional coordinates of all 10 atoms:
Pr 0.000 0.000 0.000
Ag 0.000 0.500 0.000
Ag 0.500 0.000 0.000
Ag 0.500 0.500 0.500
Br 0.224 0.729 0.771
Br 0.253 0.254 0.707
Br 0.275 0.772 0.225
Br 0.725 0.228 0.775
Br 0.747 0.746 0.293
Br 0.776 0.271 0.229

Results
Uncorrected formation energy ... -20.397 kcal/mol of atoms

***

No. 6
BeFeNi14: relaxed, PBE-GGA.

Unit cell a=4.968 b=4.968 c=6.965 alpha=90.00 beta=90.00 gamma=90.00
Fractional coordinates of all 16 atoms:
Be 0.000 0.000 0.000
Fe 0.500 0.500 0.000
Ni 0.000 0.000 0.500
Ni 0.000 0.500 0.000
Ni 0.000 0.500 0.500
Ni 0.247 0.247 0.247
Ni 0.247 0.247 0.753
Ni 0.247 0.753 0.247
Ni 0.247 0.753 0.753
Ni 0.500 0.000 0.000
Ni 0.500 0.000 0.500
Ni 0.500 0.500 0.500
Ni 0.753 0.247 0.247
Ni 0.753 0.247 0.753
Ni 0.753 0.753 0.247
Ni 0.753 0.753 0.753

Results
E_form ... -0.06 eV per atom

***

No. 7
ZrAsI3: relaxed, PBE-GGA.

Unit cell a=5.774 b=5.774 c=5.774 alpha=90.00 beta=90.00 gamma=90.00
Fractional coordinates of all 5 atoms:
Zr 0.000 0.000 0.000
As 0.500 0.500 0.500
I 0.000 0.000 0.500
I 0.000 0.500 0.000
I 0.500 0.000 0.000

Results
Uncorrected formation energy ... 0.715 kcal/mol of atoms
Offset from the most stable computed form ... 0.00 eV per formula unit

***

No. 8
TiAgAs2Br: relaxed, PBE-GGA.

Unit cell a=4.942 b=4.942 c=5.346 alpha=90.00 beta=90.00 gamma=90.00
Fractional coordinates of all 5 atoms:
Ti 0.000 0.000 0.000
Ag 0.500 0.500 0.500
As 0.000 0.500 0.500
As 0.500 0.000 0.500
Br 0.500 0.500 0.000

Results
Uncorrected formation energy ... 18.223 kcal/mol of atoms
Offset from the most stable computed form ... 3.51 eV per formula unit

***

Question: What is the formula in the first record?
Answer: CoP2

***

Question: What is the formula in the first record?
Answer: CoP2